DFT (PBE) results for a relaxed structure of ReMoS2N.

Lattice parameters (Å, degrees): 4.791 4.791 3.716 90.00 90.00 90.00
Fractional coordinates of all 5 atoms:
Re: 0.000 0.000 0.000
Mo: 0.500 0.500 0.500
S: 0.000 0.500 0.000
S: 0.500 0.000 0.000
N: 0.000 0.000 0.500

Properties
Space group ... No. 123
V ... 85 Å³ per cell
VASP energy ... -36.33 eV/cell
Uncorrected formation energy ... 706.4 meV per atom